[1]
## PaInGaAu (PBE)

Data for a relaxed PaInGaAu crystal.

Properties
- Calculated formation energy: -0.26 eV per atom
- DOS at the Fermi energy: 2.5 states/eV/f.u.
- Magnetic moment: 0.000 μB per formula unit

Unit cell a=4.964 b=4.964 c=4.964 alpha=60.00 beta=60.00 gamma=60.00
Fractional positions:
Pa1 0.000 0.000 0.000
In1 0.500 0.500 0.500
Ga1 0.250 0.250 0.250
Au1 0.750 0.750 0.750

=====

[2]
## ZnCu2Sb (PBE)

Data for a relaxed ZnCu2Sb crystal.

Properties
- DOS at the Fermi energy: 0.6 states/eV/f.u.
- Energy above the most stable polymorph in this dataset: 0.0 kJ/mol of atoms
- E_form (uncorrected): 0.091 eV/atom
- Magnetic moment: 0.000 μB per formula unit

Unit cell a=3.341 b=4.026 c=5.212 alpha=90.00 beta=108.67 gamma=90.00
Fractional positions:
Zn1 0.000 0.000 0.000
Cu1 0.557 0.500 0.117
Cu2 0.712 0.000 0.426
Sb1 0.291 0.500 0.585

=====

[3]
## PrAgH8Pt2 (PBE)

Data for a relaxed PrAgH8Pt2 crystal.

Properties
- DOS at the Fermi energy: 1.8 states/eV/f.u.
- Magnetic moment: 0.000 μB per formula unit
- Final energy: -0.2903 Ry per atom

Unit cell a=6.410 b=6.410 c=6.410 alpha=45.17 beta=45.17 gamma=45.17
Fractional positions:
Pr1 0.000 0.000 0.000
Ag1 0.500 0.500 0.500
H1 0.110 0.421 0.784
H2 0.216 0.890 0.579
H3 0.327 0.327 0.327
H4 0.421 0.784 0.110
H5 0.579 0.216 0.890
H6 0.673 0.673 0.673
H7 0.784 0.110 0.421
H8 0.890 0.579 0.216
Pt1 0.233 0.233 0.233
Pt2 0.767 0.767 0.767

=====

[4]
## NbInSn2 (PBE)

Data for a relaxed NbInSn2 crystal.

Properties
- Calculated formation energy: 0.03 eV per atom
- DOS at the Fermi energy: 1.4 states/eV/f.u.
- Magnetic moment: 0.000 μB per formula unit

Unit cell a=10.712 b=3.133 c=3.133 alpha=65.42 beta=90.00 gamma=90.00
Fractional positions:
Nb1 0.000 0.000 0.000
In1 0.500 0.362 0.362
Sn1 0.216 0.351 0.351
Sn2 0.784 0.351 0.351

=====

[5]
## AlOs3 (PBE)

Data for a relaxed AlOs3 crystal.

Properties
- Calculated formation energy: 0.42 eV per atom
- DOS at the Fermi energy: 3.4 states/eV/f.u.
- Magnetic moment: 0.000 μB per formula unit

Unit cell a=4.895 b=4.895 c=4.895 alpha=90.00 beta=90.00 gamma=90.00
Fractional positions:
Al1 0.000 0.000 0.000
Al2 0.500 0.500 0.500
Os1 0.000 0.250 0.500
Os2 0.000 0.750 0.500
Os3 0.250 0.500 0.000
Os4 0.500 0.000 0.250
Os5 0.500 0.000 0.750
Os6 0.750 0.500 0.000

=====

[6]
## Ag3Ge5O12 (PBE)

Data for a relaxed Ag3Ge5O12 crystal.

Properties
- DOS at the Fermi energy: 13.6 states/eV/f.u.
- E_form (uncorrected): -1.142 eV/atom
- Magnetic moment: 1.057 μB per formula unit

Unit cell a=10.734 b=10.734 c=10.734 alpha=109.47 beta=109.47 gamma=109.47
Fractional positions:
Ag1 0.125 0.250 0.375
Ag2 0.125 0.375 0.750
Ag3 0.250 0.375 0.125
Ag4 0.250 0.875 0.625
Ag5 0.375 0.125 0.250
Ag6 0.375 0.750 0.125
Ag7 0.625 0.250 0.875
Ag8 0.625 0.875 0.750
Ag9 0.750 0.125 0.375
Ag10 0.750 0.625 0.875
Ag11 0.875 0.625 0.250
Ag12 0.875 0.750 0.625
Ge1 0.000 0.000 0.000
Ge2 0.000 0.000 0.500
Ge3 0.000 0.500 0.000
Ge4 0.000 0.500 0.500
Ge5 0.125 0.750 0.875
Ge6 0.125 0.875 0.250
Ge7 0.250 0.125 0.875
Ge8 0.250 0.625 0.375
Ge9 0.375 0.250 0.625
Ge10 0.375 0.625 0.750
Ge11 0.500 0.000 0.000
Ge12 0.500 0.000 0.500
Ge13 0.500 0.500 0.000
Ge14 0.500 0.500 0.500
Ge15 0.625 0.375 0.250
Ge16 0.625 0.750 0.375
Ge17 0.750 0.375 0.625
Ge18 0.750 0.875 0.125
Ge19 0.875 0.125 0.750
Ge20 0.875 0.250 0.125
O1 0.009 0.189 0.113
O2 0.009 0.320 0.896
O3 0.075 0.689 0.680
O4 0.075 0.887 0.396
O5 0.104 0.613 0.425
O6 0.104 0.991 0.680
O7 0.113 0.009 0.189
O8 0.113 0.604 0.925
O9 0.180 0.189 0.575
O10 0.180 0.491 0.604
O11 0.189 0.113 0.009
O12 0.189 0.575 0.180
O13 0.311 0.320 0.925
O14 0.311 0.491 0.387
O15 0.320 0.896 0.009
O16 0.320 0.925 0.311
O17 0.387 0.311 0.491
O18 0.387 0.575 0.896
O19 0.396 0.075 0.887
O20 0.396 0.820 0.509
O21 0.425 0.104 0.613
O22 0.425 0.820 0.811
O23 0.491 0.387 0.311
O24 0.491 0.604 0.180
O25 0.509 0.396 0.820
O26 0.509 0.613 0.689
O27 0.575 0.180 0.189
O28 0.575 0.896 0.387
O29 0.604 0.180 0.491
O30 0.604 0.925 0.113
O31 0.613 0.425 0.104
O32 0.613 0.689 0.509
O33 0.680 0.075 0.689
O34 0.680 0.104 0.991
O35 0.689 0.509 0.613
O36 0.689 0.680 0.075
O37 0.811 0.425 0.820
O38 0.811 0.887 0.991
O39 0.820 0.509 0.396
O40 0.820 0.811 0.425
O41 0.887 0.396 0.075
O42 0.887 0.991 0.811
O43 0.896 0.009 0.320
O44 0.896 0.387 0.575
O45 0.925 0.113 0.604
O46 0.925 0.311 0.320
O47 0.991 0.680 0.104
O48 0.991 0.811 0.887

=====

[7]
## NaVSi3 (PBE)

Data for a relaxed NaVSi3 crystal.

Properties
- DOS at the Fermi energy: 6.3 states/eV/f.u.
- Energy above the most stable polymorph in this dataset: 150.3 kJ/mol of atoms
- E_form (uncorrected): 1.713 eV/atom
- Magnetic moment: 2.919 μB per formula unit

Unit cell a=4.769 b=4.769 c=4.769 alpha=90.00 beta=90.00 gamma=90.00
Fractional positions:
Na1 0.000 0.000 0.000
V1 0.500 0.500 0.500
Si1 0.000 0.000 0.500
Si2 0.000 0.500 0.000
Si3 0.500 0.000 0.000

=====

[8]
## K4LaNp3S8 (PBE)

Data for a relaxed K4LaNp3S8 crystal.

Properties
- DOS at the Fermi energy: 25.5 states/eV/f.u.
- E_form (uncorrected): -1.518 eV/atom
- Magnetic moment: 12.000 μB per formula unit

Unit cell a=8.781 b=8.781 c=8.781 alpha=56.41 beta=56.41 gamma=56.41
Fractional positions:
K1 0.000 0.000 0.000
K2 0.000 0.500 0.500
K3 0.500 0.000 0.500
K4 0.500 0.500 0.000
La1 0.500 0.500 0.500
Np1 0.000 0.000 0.500
Np2 0.000 0.500 0.000
Np3 0.500 0.000 0.000
S1 0.225 0.740 0.740
S2 0.232 0.232 0.232
S3 0.260 0.260 0.775
S4 0.260 0.775 0.260
S5 0.740 0.225 0.740
S6 0.740 0.740 0.225
S7 0.768 0.768 0.768
S8 0.775 0.260 0.260

=====

[9]
## AcScHg2 (PBE)

Data for a relaxed AcScHg2 crystal.

Properties
- Calculated formation energy: -0.35 eV per atom
- DOS at the Fermi energy: 4.7 states/eV/f.u.
- Energy above the most stable polymorph in this dataset: 5.3 kJ/mol of atoms
- Magnetic moment: 0.634 μB per formula unit

Unit cell a=5.420 b=5.420 c=5.420 alpha=60.00 beta=60.00 gamma=60.00
Fractional positions:
Ac1 0.000 0.000 0.000
Sc1 0.500 0.500 0.500
Hg1 0.250 0.250 0.250
Hg2 0.750 0.750 0.750

=====

[10]
## TlSbPb2 (PBE)

Data for a relaxed TlSbPb2 crystal.

Properties
- DOS at the Fermi energy: 2.0 states/eV/f.u.
- Energy above the most stable polymorph in this dataset: 2.5 kJ/mol of atoms
- E_form (uncorrected): 0.038 eV/atom
- Magnetic moment: 0.000 μB per formula unit

Unit cell a=4.191 b=4.191 c=7.123 alpha=90.00 beta=90.00 gamma=90.00
Fractional positions:
Tl1 0.000 0.000 0.000
Sb1 0.500 0.500 0.729
Pb1 0.000 0.000 0.525
Pb2 0.500 0.500 0.266

=====

[11]
## Tb3YMg2 (PBE)

Data for a relaxed Tb3YMg2 crystal.

Properties
- Calculated formation energy: -0.04 eV per atom
- DOS at the Fermi energy: 7.8 states/eV/f.u.
- Magnetic moment: 0.001 μB per formula unit

Unit cell a=3.714 b=3.714 c=12.650 alpha=90.00 beta=90.00 gamma=90.00
Fractional positions:
Tb1 0.000 0.000 0.000
Tb2 0.000 0.000 0.308
Tb3 0.000 0.000 0.692
Y1 0.500 0.500 0.500
Mg1 0.500 0.500 0.152
Mg2 0.500 0.500 0.848

=====

[12]
## CsNaAsAu2 (PBE)

Data for a relaxed CsNaAsAu2 crystal.

Properties
- Calculated formation energy: -0.22 eV per atom
- DOS at the Fermi energy: 2.2 states/eV/f.u.
- Magnetic moment: 0.000 μB per formula unit

Unit cell a=5.267 b=5.267 c=5.482 alpha=90.00 beta=90.00 gamma=90.00
Fractional positions:
Cs1 0.000 0.000 0.000
Na1 0.500 0.500 0.000
As1 0.500 0.500 0.500
Au1 0.000 0.500 0.500
Au2 0.500 0.000 0.500

=====

[13]
## Tl3Cd2 (PBE)

Data for a relaxed Tl3Cd2 crystal.

Properties
- Calculated formation energy: 0.04 eV per atom
- DOS at the Fermi energy: 2.4 states/eV/f.u.
- Energy above the most stable polymorph in this dataset: 0.8 kJ/mol of atoms
- Magnetic moment: 0.000 μB per formula unit

Unit cell a=6.636 b=6.636 c=6.614 alpha=92.62 beta=92.62 gamma=86.36
Fractional positions:
Tl1 0.113 0.887 0.750
Tl2 0.277 0.403 0.536
Tl3 0.403 0.277 0.036
Tl4 0.597 0.723 0.964
Tl5 0.723 0.597 0.464
Tl6 0.887 0.113 0.250
Cd1 0.073 0.642 0.160
Cd2 0.358 0.927 0.340
Cd3 0.642 0.073 0.660
Cd4 0.927 0.358 0.840

=====

[14]
## Na5Np2I12 (PBE)

Data for a relaxed Na5Np2I12 crystal.

Properties
- DOS at the Fermi energy: 12.3 states/eV/f.u.
- E_form (uncorrected): -0.983 eV/atom
- Magnetic moment: 6.970 μB per formula unit

Unit cell a=9.811 b=9.811 c=11.433 alpha=105.36 beta=105.36 gamma=53.85
Fractional positions:
Na1 0.000 0.000 0.000
Na2 0.274 0.274 0.089
Na3 0.310 0.310 0.771
Na4 0.690 0.690 0.229
Na5 0.726 0.726 0.911
Np1 0.249 0.751 0.500
Np2 0.751 0.249 0.500
I1 0.027 0.027 0.328
I2 0.081 0.568 0.373
I3 0.112 0.615 0.962
I4 0.385 0.888 0.038
I5 0.432 0.919 0.627
I6 0.479 0.479 0.679
I7 0.521 0.521 0.321
I8 0.568 0.081 0.373
I9 0.615 0.112 0.962
I10 0.888 0.385 0.038
I11 0.919 0.432 0.627
I12 0.973 0.973 0.672

=====

[15]
## BC2 (PBE)

Data for a relaxed BC2 crystal.

Properties
- Calculated formation energy: 0.37 eV per atom
- DOS at the Fermi energy: 0.5 states/eV/f.u.
- Energy above the most stable polymorph in this dataset: 13.0 kJ/mol of atoms
- Magnetic moment: 0.000 μB per formula unit

Unit cell a=4.498 b=4.498 c=7.894 alpha=116.05 beta=116.05 gamma=32.63
Fractional positions:
B1 0.000 0.000 0.000
B2 0.015 0.015 0.480
B3 0.668 0.668 0.836
B4 0.834 0.834 0.541
C1 0.167 0.167 0.697
C2 0.182 0.182 0.204
C3 0.333 0.333 0.671
C4 0.340 0.340 0.156
C5 0.493 0.493 0.858
C6 0.515 0.515 0.351
C7 0.678 0.678 0.311
C8 0.836 0.836 0.044